A relaxed structure of LiRuSe2, computed with PBE.

The structure belongs to space group I-4m2 (No. 119); the cell edges are 3.694, 3.694 and 9.539 Å and the angles 90.00°, 90.00° and 90.00°. The asymmetric unit holds Li at (0.000, 0.000, 0.000), Ru at (0.000, 0.500, 0.750), Se at (0.000, 0.000, 0.500) and Se at (0.000, 0.500, 0.250).

Its formation energy (no corrections) is 0.1 eV/f.u. The value obtained for the spin magnetization is 0.0 μB per formula unit. The density is 6.78 Mg/m³.



A relaxed structure of LiRuSe2, computed with PBE.

The structure belongs to space group Pmmm (No. 47); the cell edges are 3.091, 4.435 and 4.645 Å and the angles 90.00°, 90.00° and 90.00°. The asymmetric unit holds Li at (0.000, 0.000, 0.000), Ru at (0.000, 0.500, 0.500), Se at (0.500, 0.000, 0.500) and Se at (0.500, 0.500, 0.000).

Its formation energy (no corrections) is -0.6 eV/f.u. The value obtained for the spin magnetization is 0.0 μB per formula unit. The density is 6.94 Mg/m³.



A relaxed structure of LiRu2Se, computed with PBE.

The structure belongs to space group P4/mmm (No. 123); the cell edges are 4.148, 4.148 and 3.101 Å and the angles 90.00°, 90.00° and 90.00°. The asymmetric unit holds Li at (0.000, 0.000, 0.000), Ru at (0.000, 0.500, 0.500) and Se at (0.500, 0.500, 0.000).

Its formation energy (no corrections) is 0.6 eV/f.u. The value obtained for the spin magnetization is 0.0 μB per formula unit. The density is 8.96 Mg/m³.



A relaxed structure of LiRuSe2, computed with PBE.

The structure belongs to space group P4mm (No. 99); the cell edges are 3.364, 3.364 and 6.188 Å and the angles 90.00°, 90.00° and 90.00°. The asymmetric unit holds Li at (0.000, 0.000, 0.000), Ru at (0.500, 0.500, 0.282), Se at (0.000, 0.000, 0.437) and Se at (0.500, 0.500, 0.882).

Its formation energy (no corrections) is -1.2 eV/f.u. The value obtained for the spin magnetization is 0.0 μB per formula unit. The density is 6.30 Mg/m³.



A relaxed structure of LiRu2Se, computed with PBE.

The structure belongs to space group Pm (No. 6); the cell edges are 2.874, 3.802 and 5.524 Å and the angles 90.00°, 104.93° and 90.00°. The asymmetric unit holds Li at (0.000, 0.000, 0.000), Ru at (0.252, 0.000, 0.504), Ru at (0.645, 0.500, 0.292) and Se at (0.417, 0.500, 0.830).

Its formation energy (no corrections) is 0.2 eV/f.u. The value obtained for the spin magnetization is 0.0 μB per formula unit. The density is 8.20 Mg/m³.



A relaxed structure of LiRuSe2, computed with PBE.

The structure belongs to space group R-3m (No. 166, hexagonal axes); the cell edges are 3.7890, 3.7890 and 17.7353 Å and the angles 90.00°, 90.00° and 120.00°. The asymmetric unit holds Li at (0.0000, 0.0000, 0.0000), Ru at (0.0000, 0.0000, 0.5000) and Se at (0.0000, 0.0000, 0.2385).

Its formation energy (no corrections) is -1.9 eV/f.u. The value obtained for the spin magnetization is 0.0 μB per formula unit. The density is 6.01 Mg/m³.